A plane-wave DFT calculation with GGA-PBEsol was carried out for a relaxed BaLa2Ru crystal.

Magnetization: 0.0 μB per cell
Formation enthalpy at 0 K: 3 meV per atom
Space group: P4/mmm, No. 123
N(E_F): 4.7 states/eV/cell
Uncorrected energy: -23.00 eV per cell

Unit cell a=3.565 b=3.565 c=10.372 alpha=90.00 beta=90.00 gamma=90.00
Sites, in units of the cell vectors:
Ba1 0.000 0.000 0.000
La1 0.500 0.500 0.341
La2 0.500 0.500 0.659
Ru1 0.000 0.000 0.500